Computed, not measured: an optimized crystal structure of Pt2WCl at the PBE-GGA level of DFT.

Values from the calculation:
V   17.094 A^3/atom
E_form (uncorrected)   3.8 kJ per mole of atoms
Relative energy among the computed polymorphs   0.46 eV per formula unit
Calculated total energy   -6.681 eV/atom
Space group   No. 160
Theoretical density   14.8 g/cm³

The structure in POSCAR format:
```
Pt2WCl
1.0
1.4394 0.8310 9.5275
-1.4394 0.8310 9.5275
0.0000 -1.6620 9.5275
Pt W Cl
2 1 1
Cartesian
0.0000 0.0000 0.0000
0.0000 0.0000 7.2144
0.0000 0.0000 21.1991
0.0000 0.0000 13.5369
```